Below is an optimized crystal structure of Mg3Bi2, with properties calculated at the PBE-GGA level.

Lattice parameters (Å, degrees): 4.7285 4.7285 7.4383 90.00 90.00 120.00
Space group P-3m1 (No. 164)
Unique sites:
1 Mg 0.0000 0.0000 0.0000 [1 per cell]
2 Mg 0.3333 0.6667 0.6280 [2 per cell]
3 Bi 0.3333 0.6667 0.2192 [2 per cell]

Results
* distance to the lowest polymorph of the same formula: 0.000 eV/atom
* formation energy: -0.21 eV/atom
* crystal system: trigonal
* DFT total energy: -2.716 eV per atom